No. 1
First-principles (SCAN) data for Mg2ReIr at its PBEsol-relaxed geometry, as listed in Alexandria.

abc: 2.8766 3.6277 6.1261
angles: 90.00 90.00 90.00
Fractional coordinates of all 4 atoms:
1 Mg 0.0000 0.0000 0.0000
2 Mg 0.5000 0.5000 0.2810
3 Re 0.0000 0.0000 0.5406
4 Ir 0.5000 0.5000 0.7455

Computed properties:
* distance to the lowest polymorph of the same formula: 0.0 kJ per mole of atoms
* space-group type: Pmm2 (25)
* energy of formation from the pure elements: -0.022 eV per atom

***

No. 2
First-principles (SCAN) data for TcHgAs3 at its PBEsol-relaxed geometry, as listed in Alexandria.

abc: 5.0209 5.0209 5.0209
angles: 90.00 90.00 90.00
Fractional coordinates of all 5 atoms:
1 Tc 0.0000 0.0000 0.0000
2 Hg 0.5000 0.5000 0.5000
3 As 0.0000 0.5000 0.5000
4 As 0.5000 0.0000 0.5000
5 As 0.5000 0.5000 0.0000

Computed properties:
* space-group type: Pm-3m (221)
* energy of formation from the pure elements: 1.592 eV per atom

***

No. 3
First-principles (SCAN) data for Sc3IrPb at its PBEsol-relaxed geometry, as listed in Alexandria.

abc: 5.1611 5.1611 5.1611
angles: 90.00 90.00 90.00
Fractional coordinates of all 5 atoms:
1 Sc 0.0000 0.0000 0.5000
2 Sc 0.0000 0.5000 0.0000
3 Sc 0.5000 0.0000 0.0000
4 Ir 0.5000 0.5000 0.5000
5 Pb 0.0000 0.0000 0.0000

Computed properties:
* space-group type: Pm-3m (221)
* energy of formation from the pure elements: 0.869 eV per atom

***

No. 4
First-principles (SCAN) data for Tl2Te at its PBEsol-relaxed geometry, as listed in Alexandria.

abc: 8.9370 8.9370 30.8478
angles: 99.02 99.02 59.33
Fractional coordinates of all 66 atoms:
1 Tl 0.0088 0.8220 0.4145
2 Tl 0.0197 0.5427 0.8795
3 Tl 0.0279 0.5466 0.5619
4 Tl 0.0667 0.2238 0.0003
5 Tl 0.0997 0.1952 0.6950
6 Tl 0.1001 0.2911 0.3120
7 Tl 0.1780 0.9912 0.0855
8 Tl 0.1952 0.0997 0.1950
9 Tl 0.2238 0.0667 0.5003
10 Tl 0.2236 0.6972 0.1919
11 Tl 0.2289 0.7554 0.8560
12 Tl 0.2446 0.7711 0.6440
13 Tl 0.2911 0.1001 0.8120
14 Tl 0.3028 0.7764 0.3081
15 Tl 0.3294 0.5059 0.0699
16 Tl 0.3357 0.4557 0.7607
17 Tl 0.3380 0.3910 0.9630
18 Tl 0.3910 0.3380 0.4630
19 Tl 0.4534 0.9721 0.9381
20 Tl 0.4557 0.3357 0.2607
21 Tl 0.4573 0.9803 0.6205
22 Tl 0.4941 0.6706 0.4301
23 Tl 0.5059 0.3294 0.5699
24 Tl 0.5427 0.0197 0.3795
25 Tl 0.5443 0.6643 0.7393
26 Tl 0.5466 0.0279 0.0619
27 Tl 0.6090 0.6620 0.5370
28 Tl 0.6620 0.6090 0.0370
29 Tl 0.6643 0.5443 0.2393
30 Tl 0.6706 0.4941 0.9301
31 Tl 0.6972 0.2236 0.6919
32 Tl 0.7089 0.8999 0.1880
33 Tl 0.7554 0.2289 0.3560
34 Tl 0.7711 0.2446 0.1440
35 Tl 0.7764 0.3028 0.8081
36 Tl 0.7762 0.9333 0.4997
37 Tl 0.8048 0.9003 0.8050
38 Tl 0.8220 0.0088 0.9145
39 Tl 0.8999 0.7089 0.6880
40 Tl 0.9003 0.8048 0.3050
41 Tl 0.9333 0.7762 0.9997
42 Tl 0.9721 0.4534 0.4381
43 Tl 0.9803 0.4573 0.1205
44 Tl 0.9912 0.1780 0.5855
45 Te 0.0215 0.5154 0.2260
46 Te 0.0485 0.1782 0.8949
47 Te 0.0999 0.9001 0.7500
48 Te 0.1782 0.0485 0.3949
49 Te 0.2119 0.7225 0.5173
50 Te 0.2728 0.4055 0.6486
51 Te 0.2775 0.7881 0.9827
52 Te 0.3133 0.4805 0.3704
53 Te 0.4055 0.2728 0.1486
54 Te 0.4805 0.3133 0.8704
55 Te 0.4846 0.9785 0.2740
56 Te 0.5154 0.0215 0.7260
57 Te 0.5195 0.6867 0.1296
58 Te 0.5945 0.7272 0.8514
59 Te 0.6867 0.5195 0.6296
60 Te 0.7225 0.2119 0.0173
61 Te 0.7272 0.5945 0.3514
62 Te 0.7881 0.2775 0.4827
63 Te 0.8218 0.9515 0.6051
64 Te 0.9001 0.0999 0.2500
65 Te 0.9515 0.8218 0.1051
66 Te 0.9785 0.4846 0.7740

Computed properties:
* distance to the lowest polymorph of the same formula: 0.0 kJ per mole of atoms
* space-group type: C2/c (15)
* formation energy (no corrections): -0.9 eV per formula unit

***

No. 5
First-principles (SCAN) data for Mg3HRh at its PBEsol-relaxed geometry, as listed in Alexandria.

abc: 4.8926 4.8926 4.8926
angles: 90.00 90.00 90.00
Fractional coordinates of all 5 atoms:
1 Mg 0.0000 0.0000 0.5000
2 Mg 0.0000 0.5000 0.0000
3 Mg 0.5000 0.0000 0.0000
4 H 0.5000 0.5000 0.5000
5 Rh 0.0000 0.0000 0.0000

Computed properties:
* distance to the lowest polymorph of the same formula: 66.2 kJ per mole of atoms
* space-group type: Pm-3m (221)

***

No. 6
First-principles (SCAN) data for Be3W2 at its PBEsol-relaxed geometry, as listed in Alexandria.

abc: 6.2760 4.5788 7.0534
angles: 60.99 39.64 79.37
Fractional coordinates of all 10 atoms:
1 Be 0.0000 0.0000 0.0000
2 Be 0.2500 0.2500 0.2500
3 Be 0.4964 0.8952 0.2597
4 Be 0.8952 0.4964 0.3486
5 Be 0.9014 0.9903 0.3548
6 Be 0.9903 0.9014 0.7536
7 W 0.3311 0.5683 0.7741
8 W 0.4759 0.9235 0.9189
9 W 0.5683 0.3311 0.3265
10 W 0.9235 0.4759 0.6817

Computed properties:
* space-group type: Fdd2 (43)
* energy of formation from the pure elements: -0.163 eV per atom

***

No. 7
First-principles (SCAN) data for La4Hg5 at its PBEsol-relaxed geometry, as listed in Alexandria.

abc: 9.3266 9.3266 6.6548
angles: 90.00 90.00 120.00
Fractional coordinates of all 18 atoms:
1 La 0.0000 0.0000 0.0000
2 La 0.0000 0.0000 0.5000
3 La 0.0000 0.3701 0.2500
4 La 0.0000 0.6299 0.7500
5 La 0.3701 0.0000 0.2500
6 La 0.3701 0.3701 0.7500
7 La 0.6299 0.0000 0.7500
8 La 0.6299 0.6299 0.2500
9 Hg 0.0000 0.3034 0.7500
10 Hg 0.0000 0.6966 0.2500
11 Hg 0.3034 0.0000 0.7500
12 Hg 0.3034 0.3034 0.2500
13 Hg 0.3333 0.6667 0.0000
14 Hg 0.3333 0.6667 0.5000
15 Hg 0.6667 0.3333 0.0000
16 Hg 0.6667 0.3333 0.5000
17 Hg 0.6966 0.0000 0.2500
18 Hg 0.6966 0.6966 0.7500

Computed properties:
* space-group type: P6_3/mcm (193)
* energy of formation from the pure elements: -0.633 eV per atom

***

No. 8
First-principles (SCAN) data for AlAs3 at its PBEsol-relaxed geometry, as listed in Alexandria.

abc: 9.4352 9.4352 9.4352
angles: 18.32 18.32 18.32
Fractional coordinates of all 4 atoms:
1 Al 0.0000 0.0000 0.0000
2 As 0.2583 0.2583 0.2583
3 As 0.5000 0.5000 0.5000
4 As 0.7417 0.7417 0.7417

Computed properties:
* distance to the lowest polymorph of the same formula: 19.4 kJ per mole of atoms
* space-group type: R-3m (166)
* energy of formation from the pure elements: 0.338 eV per atom

***

No. 9
First-principles (SCAN) data for TcRh2Se at its PBEsol-relaxed geometry, as listed in Alexandria.

abc: 4.7388 4.7388 4.7388
angles: 132.65 132.65 69.20
Fractional coordinates of all 4 atoms:
1 Tc 0.0000 0.0000 0.0000
2 Rh 0.2500 0.7500 0.5000
3 Rh 0.7500 0.2500 0.5000
4 Se 0.5000 0.5000 0.0000

Computed properties:
* space-group type: I4/mmm (139)
* formation energy (no corrections): 1.1 eV per formula unit

***

No. 10
First-principles (SCAN) data for ZrNbCo4 at its PBEsol-relaxed geometry, as listed in Alexandria.

abc: 4.7538 4.7538 4.7538
angles: 60.00 60.00 60.00
Fractional coordinates of all 6 atoms:
1 Zr 0.0000 0.0000 0.0000
2 Nb 0.7500 0.7500 0.7500
3 Co 0.3748 0.3748 0.3748
4 Co 0.3748 0.3748 0.8757
5 Co 0.3748 0.8757 0.3748
6 Co 0.8757 0.3748 0.3748

Computed properties:
* space-group type: F-43m (216)
* energy of formation from the pure elements: -0.082 eV per atom

***

No. 11
First-principles (SCAN) data for DyGePd at its PBEsol-relaxed geometry, as listed in Alexandria.

abc: 5.5656 5.5656 6.9264
angles: 128.05 128.05 45.38
Fractional coordinates of all 6 atoms:
1 Dy 0.0486 0.0486 0.3093
2 Dy 0.9514 0.9514 0.6907
3 Ge 0.3409 0.3409 0.9007
4 Ge 0.6591 0.6591 0.0993
5 Pd 0.3239 0.3239 0.2737
6 Pd 0.6761 0.6761 0.7263

Computed properties:
* space-group type: C2/m (12)
* energy of formation from the pure elements: -1.036 eV per atom

***

No. 12
First-principles (SCAN) data for BaH3Pd at its PBEsol-relaxed geometry, as listed in Alexandria.

abc: 3.9254 3.9254 3.9254
angles: 90.00 90.00 90.00
Fractional coordinates of all 5 atoms:
1 Ba 0.0000 0.0000 0.0000
2 H 0.0000 0.5000 0.5000
3 H 0.5000 0.0000 0.5000
4 H 0.5000 0.5000 0.0000
5 Pd 0.5000 0.5000 0.5000

Computed properties:
* space-group type: Pm-3m (221)

***

No. 13
First-principles (SCAN) data for KLiFe2 at its PBEsol-relaxed geometry, as listed in Alexandria.

abc: 5.8179 5.8179 5.8179
angles: 143.60 143.60 52.42
Fractional coordinates of all 4 atoms:
1 K 0.0000 0.0000 0.0000
2 Li 0.5000 0.5000 0.0000
3 Fe 0.2500 0.7500 0.5000
4 Fe 0.7500 0.2500 0.5000

Computed properties:
* distance to the lowest polymorph of the same formula: 32.2 kJ per mole of atoms
* space-group type: I4/mmm (139)
* energy of formation from the pure elements: 1.034 eV per atom

***

No. 14
First-principles (SCAN) data for YMoP2 at its PBEsol-relaxed geometry, as listed in Alexandria.

abc: 4.5724 4.9407 4.9407
angles: 40.75 90.00 90.00
Fractional coordinates of all 4 atoms:
1 Y 0.0000 0.0000 0.0000
2 Mo 0.5000 0.7248 0.7248
3 P 0.0000 0.7188 0.7188
4 P 0.5000 0.4222 0.4222

Computed properties:
* distance to the lowest polymorph of the same formula: 0.0 kJ per mole of atoms
* space-group type: Amm2 (38)
* energy of formation from the pure elements: -0.748 eV per atom

***

No. 15
First-principles (SCAN) data for AlCr2Os at its PBEsol-relaxed geometry, as listed in Alexandria.

abc: 4.7898 4.7898 4.7898
angles: 144.45 127.96 64.61
Fractional coordinates of all 4 atoms:
1 Al 0.0000 0.0000 0.0000
2 Cr 0.5181 0.5181 0.0000
3 Cr 0.7387 0.2387 0.5000
4 Os 0.2637 0.7637 0.5000

Computed properties:
* space-group type: Imm2 (44)
* energy of formation from the pure elements: -0.252 eV per atom

***

No. 16
First-principles (SCAN) data for CdHg2Ru at its PBEsol-relaxed geometry, as listed in Alexandria.

abc: 3.0131 4.0928 5.9285
angles: 90.00 90.00 90.00
Fractional coordinates of all 4 atoms:
1 Cd 0.0000 0.0000 0.0000
2 Hg 0.0000 0.0000 0.5373
3 Hg 0.5000 0.5000 0.2629
4 Ru 0.5000 0.5000 0.7688

Computed properties:
* space-group type: Pmm2 (25)
* energy of formation from the pure elements: 0.401 eV per atom

***

No. 17
First-principles (SCAN) data for Ta3AgN at its PBEsol-relaxed geometry, as listed in Alexandria.

abc: 4.7960 4.7960 4.7960
angles: 90.00 90.00 90.00
Fractional coordinates of all 5 atoms:
1 Ta 0.0000 0.0000 0.5000
2 Ta 0.0000 0.5000 0.0000
3 Ta 0.5000 0.0000 0.0000
4 Ag 0.0000 0.0000 0.0000
5 N 0.5000 0.5000 0.5000

Computed properties:
* space-group type: Pm-3m (221)
* formation energy (no corrections): 16.1 eV per formula unit

***

No. 18
First-principles (SCAN) data for Rb2S5 at its PBEsol-relaxed geometry, as listed in Alexandria.

abc: 6.5130 6.8081 17.5358
angles: 90.00 90.00 90.00
Fractional coordinates of all 28 atoms:
1 Rb 0.0776 0.2435 0.1646
2 Rb 0.1171 0.4194 0.5123
3 Rb 0.3829 0.5806 0.0123
4 Rb 0.4224 0.7565 0.6646
5 Rb 0.5776 0.2565 0.8354
6 Rb 0.6171 0.0806 0.4877
7 Rb 0.8829 0.9194 0.9877
8 Rb 0.9224 0.7435 0.3354
9 S 0.0492 0.7447 0.1554
10 S 0.0531 0.6329 0.8064
11 S 0.0657 0.3821 0.8740
12 S 0.0925 0.9198 0.5262
13 S 0.2491 0.8430 0.8531
14 S 0.2509 0.1570 0.3531
15 S 0.4075 0.0802 0.0262
16 S 0.4343 0.6179 0.3740
17 S 0.4469 0.3671 0.3064
18 S 0.4508 0.2553 0.6554
19 S 0.5492 0.7553 0.8446
20 S 0.5531 0.8671 0.1936
21 S 0.5657 0.1179 0.1260
22 S 0.5925 0.5802 0.4738
23 S 0.7491 0.6570 0.1469
24 S 0.7509 0.3430 0.6469
25 S 0.9075 0.4198 0.9738
26 S 0.9343 0.8821 0.6260
27 S 0.9469 0.1329 0.6936
28 S 0.9508 0.2447 0.3446

Computed properties:
* space-group type: P2_12_12_1 (19)
* formation energy (no corrections): -5.0 eV per formula unit

***

No. 19
First-principles (SCAN) data for InBrO2 at its PBEsol-relaxed geometry, as listed in Alexandria.

abc: 4.2216 4.2216 4.2216
angles: 60.00 60.00 60.00
Fractional coordinates of all 4 atoms:
1 In 0.0000 0.0000 0.0000
2 Br 0.5000 0.5000 0.5000
3 O 0.2500 0.2500 0.2500
4 O 0.7500 0.7500 0.7500

Computed properties:
* distance to the lowest polymorph of the same formula: 124.6 kJ per mole of atoms
* space-group type: Fm-3m (225)
* formation energy (no corrections): 1.2 eV per formula unit

***

No. 20
First-principles (SCAN) data for Dy5Pb3 at its PBEsol-relaxed geometry, as listed in Alexandria.

abc: 8.9200 8.9200 6.5084
angles: 90.00 90.00 120.00
Fractional coordinates of all 16 atoms:
1 Dy 0.0000 0.2368 0.2500
2 Dy 0.0000 0.7632 0.7500
3 Dy 0.2368 0.0000 0.2500
4 Dy 0.2368 0.2368 0.7500
5 Dy 0.3333 0.6667 0.0000
6 Dy 0.3333 0.6667 0.5000
7 Dy 0.6667 0.3333 0.0000
8 Dy 0.6667 0.3333 0.5000
9 Dy 0.7632 0.0000 0.7500
10 Dy 0.7632 0.7632 0.2500
11 Pb 0.0000 0.3949 0.7500
12 Pb 0.0000 0.6051 0.2500
13 Pb 0.3949 0.0000 0.7500
14 Pb 0.3949 0.3949 0.2500
15 Pb 0.6051 0.0000 0.2500
16 Pb 0.6051 0.6051 0.7500

Computed properties:
* space-group type: P6_3/mcm (193)
* energy of formation from the pure elements: -0.770 eV per atom

***

No. 21
First-principles (SCAN) data for YAlIn2 at its PBEsol-relaxed geometry, as listed in Alexandria.

abc: 4.4276 4.4276 4.4951
angles: 90.00 90.00 90.00
Fractional coordinates of all 4 atoms:
1 Y 0.0000 0.0000 0.0000
2 Al 0.5000 0.5000 0.0000
3 In 0.0000 0.5000 0.5000
4 In 0.5000 0.0000 0.5000

Computed properties:
* space-group type: P4/mmm (123)
* energy of formation from the pure elements: -0.486 eV per atom

***

No. 22
First-principles (SCAN) data for Te3OsW at its PBEsol-relaxed geometry, as listed in Alexandria.

abc: 5.0850 5.0850 5.0850
angles: 90.00 90.00 90.00
Fractional coordinates of all 5 atoms:
1 Te 0.0000 0.0000 0.5000
2 Te 0.0000 0.5000 0.0000
3 Te 0.5000 0.0000 0.0000
4 Os 0.5000 0.5000 0.5000
5 W 0.0000 0.0000 0.0000

Computed properties:
* space-group type: Pm-3m (221)
* formation energy (no corrections): 9.3 eV per formula unit

***

No. 23
First-principles (SCAN) data for Cd2SbBr at its PBEsol-relaxed geometry, as listed in Alexandria.

abc: 6.9222 6.9222 6.9222
angles: 153.86 136.35 51.59
Fractional coordinates of all 4 atoms:
1 Cd 0.2251 0.2251 0.0000
2 Cd 0.7749 0.7749 0.0000
3 Sb 0.0000 0.5000 0.5000
4 Br 0.5000 0.0000 0.5000

Computed properties:
* distance to the lowest polymorph of the same formula: 43.2 kJ per mole of atoms
* space-group type: Immm (71)
* formation energy (no corrections): 0.3 eV per formula unit

***

| no. | E_tot (eV/cell) |
| --- | --- |
| 1 | -152.23 |
| 2 | -155.84 |
| 3 | -185.24 |
| 4 | -4022.78 |
| 5 | -50.19 |
| 6 | -306.50 |
| 7 | -1037.90 |
| 8 | -66.97 |
| 9 | -121.62 |
| 10 | -133.54 |
| 11 | -205.53 |
| 12 | -85.30 |
| 13 | -42.84 |
| 14 | -86.52 |
| 15 | -117.41 |
| 16 | -199.97 |
| 17 | -224.34 |
| 18 | -378.54 |
| 19 | -64.12 |
| 20 | -944.96 |
| 21 | -104.31 |
| 22 | -244.02 |
| 23 | -117.20 |